{
  "formula": "CaLaMo2F",
  "functional": "PBE with a Hubbard U",
  "state": "relaxed",
  "lattice": [[6.203, 0.000, 0.000], [0.000, 6.203, 0.000], [0.000, 0.000, 4.111]],
  "species": ["Ca", "La", "Mo", "Mo", "F"],
  "frac_coords": [[0.000, 0.000, 0.000], [0.500, 0.500, 0.500], [0.000, 0.500, 0.000], [0.500, 0.000, 0.000], [0.000, 0.000, 0.500]],
  "energy_ev_per_cell": -22.1,
  "rho_g_cm3": 4.09,
  "space_group": "No. 123"
}